# 1
{"formula": "VW2O8", "functional": "GGA+U", "state": "optimized geometry", "dft_energy_ev_per_fu": -81.88, "magnetic_moment_mub_per_cell": 1.00, "cell": [[4.937, 0.000, 0.000], [-1.315, 5.087, 0.000], [-0.049, -2.550, 6.556]], "species": ["V", "W", "W", "O", "O", "O", "O", "O", "O", "O", "O"], "fractional_positions": [[0.000, 0.000, 0.000], [0.254, 0.474, 0.827], [0.746, 0.526, 0.173], [0.097, 0.766, 0.146], [0.120, 0.748, 0.772], [0.338, 0.279, 0.594], [0.369, 0.287, 0.028], [0.631, 0.713, 0.972], [0.662, 0.721, 0.406], [0.880, 0.252, 0.228], [0.903, 0.234, 0.854]]}

=====

# 2
{"formula": "VW2O8", "functional": "GGA+U", "state": "optimized geometry", "dft_energy_ev_per_fu": -80.33, "magnetic_moment_mub_per_cell": 1.00, "cell": [[6.578, -2.621, 0.000], [6.578, 2.621, 0.000], [-0.221, 0.000, 5.224]], "species": ["V", "W", "W", "O", "O", "O", "O", "O", "O", "O", "O"], "fractional_positions": [[0.000, 0.000, 0.000], [0.148, 0.148, 0.420], [0.852, 0.852, 0.580], [0.099, 0.099, 0.751], [0.158, 0.670, 0.782], [0.283, 0.283, 0.398], [0.330, 0.842, 0.218], [0.670, 0.158, 0.782], [0.717, 0.717, 0.602], [0.842, 0.330, 0.218], [0.901, 0.901, 0.249]]}

=====

# 3
{"formula": "VWO5", "functional": "GGA+U", "state": "optimized geometry", "dft_energy_ev_per_fu": -52.24, "magnetic_moment_mub_per_cell": 1.97, "cell": [[3.729, 0.000, 0.000], [0.000, 6.350, 0.000], [0.000, 0.000, 7.512]], "species": ["V", "V", "W", "W", "O", "O", "O", "O", "O", "O", "O", "O", "O", "O"], "fractional_positions": [[0.000, 0.000, 0.000], [0.500, 0.500, 0.500], [0.000, 0.000, 0.500], [0.500, 0.500, 0.000], [0.000, 0.000, 0.238], [0.000, 0.000, 0.762], [0.000, 0.305, 0.500], [0.000, 0.500, 0.000], [0.000, 0.695, 0.500], [0.500, 0.000, 0.500], [0.500, 0.195, 0.000], [0.500, 0.500, 0.262], [0.500, 0.500, 0.738], [0.500, 0.805, 0.000]]}

=====

# 4
{"formula": "VWO4", "functional": "GGA+U", "state": "optimized geometry", "dft_energy_ev_per_fu": -45.06, "magnetic_moment_mub_per_cell": 6.00, "cell": [[6.408, 0.000, 0.000], [0.000, 6.408, 0.000], [0.000, 0.000, 7.448]], "species": ["V", "V", "W", "W", "O", "O", "O", "O", "O", "O", "O", "O"], "fractional_positions": [[0.000, 0.000, 0.000], [0.500, 0.500, 0.500], [0.000, 0.500, 0.250], [0.500, 0.000, 0.750], [0.049, 0.762, 0.147], [0.238, 0.049, 0.853], [0.262, 0.451, 0.353], [0.451, 0.738, 0.647], [0.549, 0.262, 0.647], [0.738, 0.549, 0.353], [0.762, 0.951, 0.853], [0.951, 0.238, 0.147]]}

=====

# 5
{"formula": "VWO4", "functional": "GGA+U", "state": "optimized geometry", "dft_energy_ev_per_fu": -46.69, "magnetic_moment_mub_per_cell": 12.00, "cell": [[4.999, 0.000, 0.000], [0.000, 11.803, 0.000], [0.000, 0.000, 4.584]], "species": ["V", "V", "V", "V", "W", "W", "W", "W", "O", "O", "O", "O", "O", "O", "O", "O", "O", "O", "O", "O", "O", "O", "O", "O"], "fractional_positions": [[0.244, 0.186, 0.000], [0.256, 0.686, 0.500], [0.744, 0.314, 0.000], [0.756, 0.814, 0.500], [0.249, 0.928, 0.994], [0.251, 0.428, 0.494], [0.749, 0.572, 0.994], [0.751, 0.072, 0.494], [0.072, 0.059, 0.229], [0.073, 0.312, 0.240], [0.082, 0.557, 0.269], [0.094, 0.816, 0.250], [0.406, 0.316, 0.750], [0.418, 0.057, 0.769], [0.427, 0.812, 0.740], [0.428, 0.559, 0.729], [0.572, 0.441, 0.229], [0.573, 0.188, 0.240], [0.582, 0.943, 0.269], [0.594, 0.684, 0.250], [0.906, 0.184, 0.750], [0.918, 0.443, 0.769], [0.927, 0.688, 0.740], [0.928, 0.941, 0.729]]}

=====

# 6
{"formula": "VW2O8", "functional": "GGA+U", "state": "optimized geometry", "dft_energy_ev_per_fu": -82.24, "magnetic_moment_mub_per_cell": 1.00, "cell": [[5.088, 0.000, 0.000], [-2.466, 4.848, 0.000], [-0.004, -1.862, 5.428]], "species": ["V", "W", "W", "O", "O", "O", "O", "O", "O", "O", "O"], "fractional_positions": [[0.000, 0.000, 0.000], [0.272, 0.509, 0.667], [0.728, 0.491, 0.333], [0.019, 0.245, 0.824], [0.028, 0.714, 0.681], [0.442, 0.226, 0.070], [0.456, 0.273, 0.542], [0.544, 0.727, 0.458], [0.558, 0.774, 0.930], [0.972, 0.286, 0.319], [0.981, 0.755, 0.176]]}

=====

# 7
{"formula": "V5W3O20", "functional": "GGA+U", "state": "optimized geometry", "dft_energy_ev_per_fu": -211.20, "magnetic_moment_mub_per_cell": 2.99, "cell": [[3.884, 0.000, 0.000], [0.011, 7.626, 0.000], [0.111, 3.772, 12.475]], "species": ["V", "V", "V", "V", "V", "W", "W", "W", "O", "O", "O", "O", "O", "O", "O", "O", "O", "O", "O", "O", "O", "O", "O", "O", "O", "O", "O", "O"], "fractional_positions": [[0.000, 0.000, 0.000], [0.006, 0.511, 0.983], [0.014, 0.007, 0.486], [0.850, 0.342, 0.802], [0.862, 0.855, 0.291], [0.889, 0.856, 0.787], [0.897, 0.358, 0.285], [0.971, 0.505, 0.500], [0.415, 0.854, 0.792], [0.422, 0.356, 0.293], [0.426, 0.011, 0.985], [0.431, 0.355, 0.791], [0.433, 0.857, 0.288], [0.434, 0.506, 0.989], [0.442, 0.006, 0.491], [0.446, 0.505, 0.495], [0.923, 0.101, 0.806], [0.923, 0.268, 0.951], [0.928, 0.588, 0.822], [0.929, 0.431, 0.141], [0.929, 0.785, 0.953], [0.929, 0.919, 0.642], [0.933, 0.767, 0.456], [0.935, 0.278, 0.461], [0.936, 0.584, 0.326], [0.937, 0.439, 0.646], [0.938, 0.934, 0.135], [0.939, 0.095, 0.324]]}

=====

# 8
{"formula": "VWO4", "functional": "GGA+U", "state": "optimized geometry", "dft_energy_ev_per_fu": -46.85, "magnetic_moment_mub_per_cell": 6.00, "cell": [[-3.365, 3.365, 3.064], [3.365, -3.365, 3.064], [3.365, 3.365, -3.064]], "species": ["V", "V", "W", "W", "O", "O", "O", "O", "O", "O", "O", "O"], "fractional_positions": [[0.000, 0.000, 0.000], [0.750, 0.250, 0.500], [0.262, 0.762, 0.500], [0.512, 0.512, 0.000], [0.210, 0.512, 0.698], [0.262, 0.064, 0.802], [0.262, 0.460, 0.198], [0.288, 0.991, 0.297], [0.695, 0.991, 0.703], [0.741, 0.538, 0.797], [0.741, 0.945, 0.203], [0.814, 0.512, 0.302]]}

=====

# 9
{"formula": "VW2O8", "functional": "GGA+U", "state": "optimized geometry", "dft_energy_ev_per_fu": -82.23, "magnetic_moment_mub_per_cell": 2.00, "cell": [[5.018, 0.000, 0.000], [0.000, 5.846, 0.000], [-4.727, 0.000, 9.261]], "species": ["V", "V", "W", "W", "W", "W", "O", "O", "O", "O", "O", "O", "O", "O", "O", "O", "O", "O", "O", "O", "O", "O"], "fractional_positions": [[0.000, 0.143, 0.250], [0.000, 0.857, 0.750], [0.232, 0.335, 0.991], [0.232, 0.665, 0.491], [0.768, 0.335, 0.509], [0.768, 0.665, 0.009], [0.173, 0.391, 0.612], [0.173, 0.609, 0.112], [0.204, 0.164, 0.140], [0.204, 0.836, 0.640], [0.249, 0.100, 0.880], [0.249, 0.900, 0.380], [0.315, 0.389, 0.392], [0.315, 0.611, 0.892], [0.685, 0.389, 0.108], [0.685, 0.611, 0.608], [0.751, 0.100, 0.620], [0.751, 0.900, 0.120], [0.796, 0.164, 0.360], [0.796, 0.836, 0.860], [0.827, 0.391, 0.888], [0.827, 0.609, 0.388]]}